No. 1
Below is a relaxed structure of MnAs2Se, with properties calculated at the PBE level.

a = 3.604 Å, b = 3.668 Å, c = 7.245 Å
α = 90.00°, β = 90.00°, γ = 90.00°
Fractional coordinates of all 4 atoms:
Mn (0.000, 0.000, 0.000)
As (0.000, 0.500, 0.500)
As (0.500, 0.000, 0.500)
Se (0.500, 0.500, 0.000)

=====

No. 2
Below is a relaxed structure of MnAsSe, with properties calculated at the PBE level.

a = 10.984 Å, b = 3.363 Å, c = 3.363 Å
α = 90.00°, β = 107.00°, γ = 90.00°
Fractional coordinates of all 6 atoms:
Mn (0.000, 0.000, 0.000)
Mn (0.500, 0.500, 0.000)
As (0.117, 0.500, 0.618)
As (0.617, 0.000, 0.618)
Se (0.376, 0.000, 0.376)
Se (0.876, 0.500, 0.376)

=====

No. 3
Below is a relaxed structure of MnAs2Se, with properties calculated at the PBE level.

a = 2.869 Å, b = 2.869 Å, c = 8.782 Å
α = 90.00°, β = 90.00°, γ = 90.00°
Fractional coordinates of all 4 atoms:
Mn (0.000, 0.000, 0.000)
As (0.000, 0.000, 0.530)
As (0.500, 0.500, 0.813)
Se (0.500, 0.500, 0.157)

=====

No. 4
Below is a relaxed structure of MnAs2Se, with properties calculated at the PBE level.

a = 4.810 Å, b = 4.810 Å, c = 3.158 Å
α = 90.00°, β = 90.00°, γ = 90.00°
Fractional coordinates of all 4 atoms:
Mn (0.000, 0.000, 0.000)
As (0.000, 0.500, 0.500)
As (0.500, 0.000, 0.500)
Se (0.500, 0.500, 0.000)

=====

No. 5
Below is a relaxed structure of Mn4AsSe, with properties calculated at the PBE level.

a = 4.981 Å, b = 4.981 Å, c = 4.981 Å
α = 60.00°, β = 60.00°, γ = 60.00°
Fractional coordinates of all 6 atoms:
Mn (0.125, 0.125, 0.125)
Mn (0.125, 0.125, 0.624)
Mn (0.125, 0.624, 0.125)
Mn (0.624, 0.125, 0.125)
As (0.500, 0.500, 0.500)
Se (0.750, 0.750, 0.750)

=====

No. 6
Below is a relaxed structure of MnAsSe4, with properties calculated at the PBE level.

Values from the calculation:
For the energy above the most stable polymorph in this dataset, the calculation gives 0.000 eV per atom.

a = 13.192 Å, b = 3.594 Å, c = 6.334 Å
α = 90.00°, β = 98.33°, γ = 90.00°
Fractional coordinates of all 12 atoms:
Mn (0.000, 0.000, 0.000)
Mn (0.500, 0.500, 0.000)
As (0.000, 0.500, 0.500)
As (0.500, 0.000, 0.500)
Se (0.108, 0.500, 0.878)
Se (0.113, 0.000, 0.344)
Se (0.387, 0.500, 0.656)
Se (0.392, 0.000, 0.122)
Se (0.608, 0.000, 0.878)
Se (0.613, 0.500, 0.344)
Se (0.887, 0.000, 0.656)
Se (0.892, 0.500, 0.122)

=====

No. 7
Below is a relaxed structure of MnAs2Se, with properties calculated at the PBE level.

a = 5.837 Å, b = 7.483 Å, c = 3.375 Å
α = 90.00°, β = 90.00°, γ = 90.00°
Fractional coordinates of all 8 atoms:
Mn (0.000, 0.000, 0.000)
Mn (0.500, 0.500, 0.000)
As (0.250, 0.250, 0.500)
As (0.250, 0.750, 0.500)
As (0.750, 0.250, 0.500)
As (0.750, 0.750, 0.500)
Se (0.000, 0.500, 0.000)
Se (0.500, 0.000, 0.000)

=====

No. 8
Below is a relaxed structure of MnAs2Se, with properties calculated at the PBE level.

a = 6.664 Å, b = 6.664 Å, c = 6.664 Å
α = 90.00°, β = 90.00°, γ = 90.00°
Fractional coordinates of all 16 atoms:
Mn (0.000, 0.000, 0.000)
Mn (0.000, 0.500, 0.500)
Mn (0.500, 0.000, 0.500)
Mn (0.500, 0.500, 0.000)
As (0.000, 0.000, 0.500)
As (0.000, 0.500, 0.000)
As (0.250, 0.250, 0.750)
As (0.250, 0.750, 0.250)
As (0.500, 0.000, 0.000)
As (0.500, 0.500, 0.500)
As (0.750, 0.250, 0.250)
As (0.750, 0.750, 0.750)
Se (0.250, 0.250, 0.250)
Se (0.250, 0.750, 0.750)
Se (0.750, 0.250, 0.750)
Se (0.750, 0.750, 0.250)

=====

No. 9
Below is a relaxed structure of MnAs2Se, with properties calculated at the PBE level.

a = 3.278 Å, b = 3.257 Å, c = 6.544 Å
α = 90.00°, β = 90.08°, γ = 90.00°
Fractional coordinates of all 4 atoms:
Mn (0.000, 0.000, 0.000)
As (0.499, 0.500, 0.797)
As (0.501, 0.500, 0.203)
Se (0.000, 0.000, 0.500)

=====

No. 10
Below is a relaxed structure of MnAs2Se, with properties calculated at the PBE level.

a = 2.877 Å, b = 2.877 Å, c = 8.763 Å
α = 90.00°, β = 90.00°, γ = 90.00°
Fractional coordinates of all 4 atoms:
Mn (0.000, 0.000, 0.000)
As (0.500, 0.500, 0.169)
As (0.500, 0.500, 0.831)
Se (0.000, 0.000, 0.500)

=====

No. 11
Below is a relaxed structure of MnAs2Se, with properties calculated at the PBE level.

a = 3.980 Å, b = 3.825 Å, c = 5.451 Å
α = 90.00°, β = 90.11°, γ = 90.00°
Fractional coordinates of all 4 atoms:
Mn (0.000, 0.000, 0.000)
As (0.569, 0.500, 0.500)
As (0.982, 0.000, 0.500)
Se (0.494, 0.500, 0.000)

=====

No. 12
Below is a relaxed structure of MnAs2Se, with properties calculated at the PBE level.

a = 3.513 Å, b = 4.958 Å, c = 11.911 Å
α = 90.00°, β = 90.00°, γ = 90.00°
Fractional coordinates of all 8 atoms:
Mn (0.000, 0.000, 0.000)
Mn (0.500, 0.500, 0.500)
As (0.000, 0.000, 0.383)
As (0.000, 0.500, 0.030)
As (0.500, 0.000, 0.530)
As (0.500, 0.500, 0.883)
Se (0.000, 0.500, 0.639)
Se (0.500, 0.000, 0.139)

=====

No. 13
Below is a relaxed structure of MnAs2Se, with properties calculated at the PBE level.

a = 3.382 Å, b = 3.382 Å, c = 25.629 Å
α = 90.00°, β = 90.00°, γ = 120.00°
Fractional coordinates of all 12 atoms:
Mn (0.000, 0.000, 0.000)
Mn (0.333, 0.667, 0.667)
Mn (0.667, 0.333, 0.333)
As (0.000, 0.000, 0.264)
As (0.000, 0.000, 0.527)
As (0.333, 0.667, 0.194)
As (0.333, 0.667, 0.930)
As (0.667, 0.333, 0.597)
As (0.667, 0.333, 0.861)
Se (0.000, 0.000, 0.723)
Se (0.333, 0.667, 0.390)
Se (0.667, 0.333, 0.056)

=====

No. 14
Below is a relaxed structure of MnAs2Se, with properties calculated at the PBE level.

a = 3.487 Å, b = 3.590 Å, c = 14.350 Å
α = 90.00°, β = 90.00°, γ = 90.00°
Fractional coordinates of all 8 atoms:
Mn (0.000, 0.000, 0.000)
Mn (0.500, 0.500, 0.500)
As (0.000, 0.500, 0.284)
As (0.000, 0.500, 0.716)
As (0.500, 0.000, 0.216)
As (0.500, 0.000, 0.784)
Se (0.000, 0.000, 0.500)
Se (0.500, 0.500, 0.000)

=====

No. 15
Below is a relaxed structure of Mn3AsSe, with properties calculated at the PBE level.

Values from the calculation:
For the energy above the most stable polymorph in this dataset, the calculation gives 0.000 eV per atom.

a = 4.828 Å, b = 4.828 Å, c = 4.828 Å
α = 90.00°, β = 90.00°, γ = 90.00°
Fractional coordinates of all 5 atoms:
Mn (0.000, 0.000, 0.500)
Mn (0.000, 0.500, 0.000)
Mn (0.500, 0.000, 0.000)
As (0.000, 0.000, 0.000)
Se (0.500, 0.500, 0.500)

=====

Quick rundown of formation energy without anion corrections, same order as above: 0.9, 0.1, 0.6, 1.5, 2.7, -1.6, 1.4, 1.5, 0.7, 0.4, -0.3, 0.6, 0.1, 0.5, 2.5 eV per formula unit
Quick rundown of total magnetic moment, same order as above: 4.54, 3.50, 0.00, 3.80, 10.08, 2.26, 3.71, 3.81, 2.47, 0.25, 4.75, 3.44, 3.06, 4.36, 13.99 μB per formula unit